# LiCoOs2 PBE-GGA optimized geometry
data_LiCoOs2
_chemical_formula_sum 'Li4 Co4 Os8'
_cell_length_a 7.266
_cell_length_b 7.266
_cell_length_c 4.546
_cell_angle_alpha 90.00
_cell_angle_beta 90.00
_cell_angle_gamma 90.00
_symmetry_space_group_name_H-M 'I -4 2 d'
_symmetry_Int_Tables_number 122
_symmetry_space_group_name_Hall 'I -4 2bw'
loop_
_atom_site_label
_atom_site_fract_x
_atom_site_fract_y
_atom_site_fract_z
Li1 0.000 0.000 0.000
Co1 0.000 0.000 0.500
Os1 0.182 0.750 0.625
# Energy relative to the lowest polymorph listed for this composition: 572 meV per atom
# Spin magnetization: 0.00 μB per cell
# E: -0.2609 hartree per atom
# ΔH_f (0 K): 0.771 eV/atom



# LiCo2Os PBE-GGA optimized geometry
data_LiCo2Os
_chemical_formula_sum 'Li4 Co8 Os4'
_cell_length_a 5.746
_cell_length_b 5.746
_cell_length_c 5.746
_cell_angle_alpha 90.00
_cell_angle_beta 90.00
_cell_angle_gamma 90.00
_symmetry_space_group_name_H-M 'F m -3 m'
_symmetry_Int_Tables_number 225
_symmetry_space_group_name_Hall '-F 4 2 3'
loop_
_atom_site_label
_atom_site_fract_x
_atom_site_fract_y
_atom_site_fract_z
Li1 0.000 0.000 0.000
Co1 0.250 0.250 0.250
Os1 0.000 0.000 0.500
# Energy relative to the lowest polymorph listed for this composition: 61 meV per atom
# Spin magnetization: 11.88 μB per cell
# E: -0.2432 hartree per atom
# ΔH_f (0 K): 0.220 eV/atom



# LiCoOs PBE-GGA optimized geometry
data_LiCoOs
_chemical_formula_sum 'Li4 Co4 Os4'
_cell_length_a 6.910
_cell_length_b 2.597
_cell_length_c 8.174
_cell_angle_alpha 90.00
_cell_angle_beta 90.00
_cell_angle_gamma 90.00
_symmetry_space_group_name_H-M 'P n m a'
_symmetry_Int_Tables_number 62
loop_
_symmetry_equiv_pos_as_xyz
'x,y,z'
'-x,-y,-z'
'-x+1/2,-y,z+1/2'
'x+1/2,y,-z+1/2'
'x+1/2,-y+1/2,-z+1/2'
'-x+1/2,y+1/2,z+1/2'
'-x,y+1/2,-z'
'x,-y+1/2,z'
loop_
_atom_site_label
_atom_site_fract_x
_atom_site_fract_y
_atom_site_fract_z
Li1 0.100 0.250 0.093
Co1 0.139 0.250 0.730
Os1 0.136 0.250 0.409
# Energy relative to the lowest polymorph listed for this composition: 108 meV per atom
# Spin magnetization: 0.00 μB per cell
# E: -0.2402 hartree per atom
# ΔH_f (0 K): 0.214 eV/atom



# LiCoOs PBE-GGA optimized geometry
data_LiCoOs
_chemical_formula_sum 'Li4 Co4 Os4'
_cell_length_a 13.428
_cell_length_b 2.600
_cell_length_c 4.438
_cell_angle_alpha 90.00
_cell_angle_beta 98.03
_cell_angle_gamma 90.00
_symmetry_space_group_name_H-M 'C 1 m 1'
_symmetry_Int_Tables_number 8
loop_
_symmetry_equiv_pos_as_xyz
'x,y,z'
'x,-y,z'
'x+1/2,y+1/2,z'
'x+1/2,-y+1/2,z'
loop_
_atom_site_label
_atom_site_fract_x
_atom_site_fract_y
_atom_site_fract_z
Li1 0.000 0.000 0.000
Li2 0.033 0.500 0.505
Co1 0.196 0.000 0.550
Co2 0.337 0.000 0.944
Os1 0.186 0.500 0.052
Os2 0.347 0.500 0.442
# Energy relative to the lowest polymorph listed for this composition: 89 meV per atom
# Spin magnetization: 0.00 μB per cell
# E: -0.2409 hartree per atom
# ΔH_f (0 K): 0.196 eV/atom



# LiCoOs2 PBE-GGA optimized geometry
data_LiCoOs2
_chemical_formula_sum 'Li2 Co2 Os4'
_cell_length_a 2.636
_cell_length_b 4.285
_cell_length_c 9.805
_cell_angle_alpha 90.00
_cell_angle_beta 90.00
_cell_angle_gamma 90.00
_symmetry_space_group_name_H-M 'I m m m'
_symmetry_Int_Tables_number 71
_symmetry_space_group_name_Hall '-I 2 2'
loop_
_atom_site_label
_atom_site_fract_x
_atom_site_fract_y
_atom_site_fract_z
Li1 0.000 0.000 0.000
Co1 0.000 0.000 0.500
Os1 0.000 0.500 0.212
# Energy relative to the lowest polymorph listed for this composition: 0 meV per atom
# Spin magnetization: 1.34 μB per cell
# E: -0.2819 hartree per atom
# ΔH_f (0 K): 0.198 eV/atom



# LiCoOs PBE-GGA optimized geometry
data_LiCoOs
_chemical_formula_sum 'Li2 Co2 Os2'
_cell_length_a 2.566
_cell_length_b 3.686
_cell_length_c 7.623
_cell_angle_alpha 90.00
_cell_angle_beta 90.00
_cell_angle_gamma 90.00
_symmetry_space_group_name_H-M 'I m m 2'
_symmetry_Int_Tables_number 44
loop_
_symmetry_equiv_pos_as_xyz
'x,y,z'
'-x,-y,z'
'-x,y,z'
'x,-y,z'
'x+1/2,y+1/2,z+1/2'
'-x+1/2,-y+1/2,z+1/2'
'-x+1/2,y+1/2,z+1/2'
'x+1/2,-y+1/2,z+1/2'
loop_
_atom_site_label
_atom_site_fract_x
_atom_site_fract_y
_atom_site_fract_z
Li1 0.000 0.000 0.000
Co1 0.000 0.000 0.328
Os1 0.000 0.000 0.678
# Energy relative to the lowest polymorph listed for this composition: 170 meV per atom
# Spin magnetization: 0.00 μB per cell
# E: -0.2379 hartree per atom
# ΔH_f (0 K): 0.276 eV/atom



# LiCo2Os PBE-GGA optimized geometry
data_LiCo2Os
_chemical_formula_sum 'Li4 Co8 Os4'
_cell_length_a 6.472
_cell_length_b 6.472
_cell_length_c 4.960
_cell_angle_alpha 90.00
_cell_angle_beta 90.00
_cell_angle_gamma 90.00
_symmetry_space_group_name_H-M 'I -4 2 d'
_symmetry_Int_Tables_number 122
_symmetry_space_group_name_Hall 'I -4 2bw'
loop_
_atom_site_label
_atom_site_fract_x
_atom_site_fract_y
_atom_site_fract_z
Li1 0.000 0.000 0.000
Co1 0.244 0.750 0.625
Os1 0.000 0.000 0.500
# Energy relative to the lowest polymorph listed for this composition: 572 meV per atom
# Spin magnetization: 13.30 μB per cell
# E: -0.2244 hartree per atom
# ΔH_f (0 K): 0.732 eV/atom



# LiCoOs2 PBE-GGA optimized geometry
data_LiCoOs2
_chemical_formula_sum 'Li1 Co1 Os2'
_cell_length_a 2.582
_cell_length_b 2.582
_cell_length_c 7.969
_cell_angle_alpha 90.00
_cell_angle_beta 90.00
_cell_angle_gamma 90.00
_symmetry_space_group_name_H-M 'P 4/m m m'
_symmetry_Int_Tables_number 123
_symmetry_space_group_name_Hall '-P 4 2'
loop_
_atom_site_label
_atom_site_fract_x
_atom_site_fract_y
_atom_site_fract_z
Li1 0.000 0.000 0.000
Co1 0.000 0.000 0.500
Os1 0.500 0.500 0.270
# Energy relative to the lowest polymorph listed for this composition: 154 meV per atom
# Spin magnetization: 0.43 μB per cell
# E: -0.2763 hartree per atom
# ΔH_f (0 K): 0.352 eV/atom



# LiCoOs PBE-GGA optimized geometry
data_LiCoOs
_chemical_formula_sum 'Li2 Co2 Os2'
_cell_length_a 4.0607
_cell_length_b 4.0607
_cell_length_c 4.7812
_cell_angle_alpha 90.00
_cell_angle_beta 90.00
_cell_angle_gamma 120.00
_symmetry_space_group_name_H-M 'P 63/m m c'
_symmetry_Int_Tables_number 194
_symmetry_space_group_name_Hall '-P 6c 2c'
loop_
_atom_site_label
_atom_site_fract_x
_atom_site_fract_y
_atom_site_fract_z
Li1 0.3333 0.6667 0.2500
Co1 0.0000 0.0000 0.0000
Os1 0.3333 0.6667 0.7500
# Energy relative to the lowest polymorph listed for this composition: 536 meV per atom
# Spin magnetization: 0.01 μB per cell
# E: -0.2244 hartree per atom
# ΔH_f (0 K): 0.642 eV/atom



# LiCoOs PBE-GGA optimized geometry
data_LiCoOs
_chemical_formula_sum 'Li1 Co1 Os1'
_cell_length_a 4.1822
_cell_length_b 4.1822
_cell_length_c 2.5043
_cell_angle_alpha 90.00
_cell_angle_beta 90.00
_cell_angle_gamma 120.00
_symmetry_space_group_name_H-M 'P -6 m 2'
_symmetry_Int_Tables_number 187
_symmetry_space_group_name_Hall 'P -6 2'
loop_
_atom_site_label
_atom_site_fract_x
_atom_site_fract_y
_atom_site_fract_z
Li1 0.0000 0.0000 0.0000
Co1 0.3333 0.6667 0.5000
Os1 0.6667 0.3333 0.5000
# Energy relative to the lowest polymorph listed for this composition: 255 meV per atom
# Spin magnetization: 0.00 μB per cell
# E: -0.2348 hartree per atom
# ΔH_f (0 K): 0.362 eV/atom



# LiCoOs2 PBE-GGA optimized geometry
data_LiCoOs2
_chemical_formula_sum 'Li2 Co2 Os4'
_cell_length_a 2.731
_cell_length_b 4.452
_cell_length_c 8.924
_cell_angle_alpha 90.00
_cell_angle_beta 90.00
_cell_angle_gamma 90.00
_symmetry_space_group_name_H-M 'C m m m'
_symmetry_Int_Tables_number 65
_symmetry_space_group_name_Hall '-C 2 2'
loop_
_atom_site_label
_atom_site_fract_x
_atom_site_fract_y
_atom_site_fract_z
Li1 0.000 0.000 0.000
Co1 0.000 0.000 0.500
Os1 0.000 0.500 0.260
# Energy relative to the lowest polymorph listed for this composition: 139 meV per atom
# Spin magnetization: 3.57 μB per cell
# E: -0.2768 hartree per atom
# ΔH_f (0 K): 0.338 eV/atom



# LiCo2Os PBE-GGA optimized geometry
data_LiCo2Os
_chemical_formula_sum 'Li2 Co4 Os2'
_cell_length_a 2.772
_cell_length_b 4.070
_cell_length_c 7.921
_cell_angle_alpha 90.00
_cell_angle_beta 90.00
_cell_angle_gamma 90.00
_symmetry_space_group_name_H-M 'I m m m'
_symmetry_Int_Tables_number 71
_symmetry_space_group_name_Hall '-I 2 2'
loop_
_atom_site_label
_atom_site_fract_x
_atom_site_fract_y
_atom_site_fract_z
Li1 0.000 0.000 0.000
Co1 0.000 0.500 0.261
Os1 0.000 0.000 0.500
# Energy relative to the lowest polymorph listed for this composition: 144 meV per atom
# Spin magnetization: 1.87 μB per cell
# E: -0.2402 hartree per atom
# ΔH_f (0 K): 0.304 eV/atom